YNb3O | PBEsol | relaxed

```
YNb3O
1.0
4.8465 0.0000 0.0000
0.0000 4.8465 0.0000
0.0000 0.0000 4.8465
Nb O Y
3 1 1
Cartesian
0.0000 2.4233 0.0000 Nb
0.0000 0.0000 2.4233 Nb
2.4233 0.0000 0.0000 Nb
2.4233 2.4233 2.4233 O
0.0000 0.0000 0.0000 Y
```

Computed properties:
Its calculated density is 5.60 g/cm3. The calculation puts the total energy at -31.38 eV for the cell shown. As for the crystal system: cubic. As for the formation energy without anion corrections: 2.631 eV/atom.

Nb2ZnO6 | PBEsol | relaxed

```
Nb2ZnO6
1.0
5.0327 0.0000 0.0000
0.0000 5.7476 0.0000
0.0000 0.0000 14.2596
O Nb Zn
24 8 4
Cartesian
4.6043 2.2116 13.1364 O
2.1325 0.6070 12.9020 O
2.9124 5.0482 10.7767 O
4.6367 2.1744 3.6469 O
0.4284 3.5360 1.1231 O
0.3960 3.5732 10.6126 O
2.0879 0.6622 8.2529 O
2.9448 2.2116 1.1231 O
4.6367 5.0482 3.4828 O
0.3838 0.6070 1.3575 O
2.1325 3.4808 8.4873 O
2.0879 3.5360 13.1364 O
0.3960 0.6994 10.7767 O
2.9002 2.2668 5.7722 O
0.3838 3.4808 5.7722 O
2.9448 5.0854 6.0066 O
4.6489 2.2668 8.4873 O
4.6489 5.1406 12.9020 O
4.6043 5.0854 8.2529 O
2.1203 3.5732 3.6469 O
2.1203 0.6994 3.4828 O
0.4284 0.6622 6.0066 O
2.9002 5.1406 1.3575 O
2.9124 2.1744 10.6126 O
1.2608 1.8180 9.4075 Nb
1.2555 1.8180 4.8521 Nb
3.7772 1.0558 11.9819 Nb
3.7772 3.9296 9.4075 Nb
3.7719 1.0558 2.2777 Nb
1.2608 4.6918 11.9819 Nb
3.7719 3.9296 4.8521 Nb
1.2555 4.6918 2.2777 Nb
1.2582 4.7726 7.1298 Zn
3.7745 0.9750 7.1298 Zn
3.7745 3.8488 0.0000 Zn
1.2582 1.8988 0.0000 Zn
```

Computed properties:
Its calculated density is 5.59 g/cm3. The calculation puts the total energy at -301.79 eV for the cell shown. As for the crystal system: orthorhombic. As for the formation energy without anion corrections: -2.303 eV/atom.

NbZnO2 | PBEsol | relaxed

```
NbZnO2
1.0
4.9137 0.0000 0.0000
-2.4569 4.9544 -0.0085
0.0000 2.4440 4.2628
Zn Nb O
2 2 4
Cartesian
2.4569 1.2220 2.1314 Zn
0.0000 3.0882 1.0615 Zn
0.0000 0.0000 0.0000 Nb
2.4569 4.3102 3.1929 Nb
1.2284 1.5895 0.6099 O
-1.1372 5.8543 3.7236 O
1.1372 4.6323 1.5922 O
3.6853 2.7207 2.5830 O
```

Computed properties:
Its calculated density is 6.08 g/cm3. The calculation puts the total energy at -54.35 eV for the cell shown. As for the crystal system: tetragonal. As for the formation energy without anion corrections: -1.068 eV/atom.

NbZnO2 | PBEsol | relaxed

```
NbZnO2
1.0
-1.2420 -2.7818 0.4983
0.9730 -2.4381 -1.6242
4.1390 -2.8702 3.8547
Zn Nb O
1 1 2
Cartesian
1.9350 -4.0450 1.3644 Zn
0.0000 0.0000 0.0000 Nb
1.0777 -5.5798 0.2213 O
2.7923 -2.5102 2.5076 O
```

Computed properties:
Its calculated density is 6.29 g/cm3. The calculation puts the total energy at -28.13 eV for the cell shown. As for the crystal system: trigonal. As for the formation energy without anion corrections: -1.308 eV/atom.

ZrNbO2 | PBEsol | relaxed

```
ZrNbO2
1.0
4.9275 0.0000 0.0000
0.0000 4.9275 0.0000
-2.4637 -2.4637 4.7864
O Zr Nb
4 2 2
Cartesian
3.6014 1.2319 1.1966 O
-1.2319 -1.1377 3.5898 O
1.2319 1.1377 3.5898 O
1.3260 3.6956 1.1966 O
2.4637 0.0000 2.3932 Zr
2.4637 2.4637 0.0000 Zr
0.0000 2.4637 2.3932 Nb
0.0000 0.0000 0.0000 Nb
```

Computed properties:
Its calculated density is 6.18 g/cm3. The calculation puts the total energy at -74.81 eV for the cell shown. As for the crystal system: tetragonal. As for the formation energy without anion corrections: -1.749 eV/atom.

NbP3Os | PBEsol | relaxed

```
NbP3Os
1.0
-1.3880 -4.4577 -0.1877
4.0862 -1.1911 -1.9281
1.7916 -0.7369 4.2521
Os P Nb
1 3 1
Cartesian
2.2449 -3.1928 1.0682 Os
2.0431 -0.5955 -0.9640 P
0.8958 -0.3684 2.1261 P
-0.6940 -2.2289 -0.0938 P
0.0000 0.0000 0.0000 Nb
```

Computed properties:
Its calculated density is 6.12 g/cm3. The calculation puts the total energy at -32.96 eV for the cell shown. For the formation energy, the calculation gives 1.49 eV/atom. As for the crystal system: cubic.

NbP2Os | PBEsol | relaxed

```
NbP2Os
1.0
-0.7945 5.4074 0.0406
-2.4971 -0.3304 -4.8505
-2.9071 -3.2254 4.7956
Os Nb P
2 2 4
Cartesian
0.0000 0.0000 0.0000 Os
-3.5250 -0.5087 -1.2299 Os
-1.6458 2.5385 -2.4049 Nb
-2.6737 2.3602 1.2157 Nb
-2.3819 3.9614 -0.5833 P
-2.5177 -1.7746 3.1393 P
-3.1862 0.7720 -3.0312 P
-4.3116 0.7442 0.4468 P
```

Computed properties:
Its calculated density is 7.39 g/cm3. The calculation puts the total energy at -68.64 eV for the cell shown. For the formation energy, the calculation gives 0.07 eV/atom. As for the crystal system: tetragonal.

NbPOsS2 | PBEsol | relaxed

```
NbPOsS2
1.0
4.6085 0.0000 0.0000
0.0000 4.6085 0.0000
0.0000 0.0000 4.9282
Os S P Nb
1 2 1 1
Cartesian
2.3043 2.3043 2.4641 Os
2.3043 0.0000 0.0000 S
0.0000 2.3043 0.0000 S
0.0000 0.0000 2.4641 P
0.0000 0.0000 0.0000 Nb
```

Computed properties:
Its calculated density is 6.00 g/cm3. The calculation puts the total energy at -31.72 eV for the cell shown. As for the crystal system: tetragonal. As for the formation energy without anion corrections: 1.176 eV/atom.

NbOs3Pb | PBEsol | relaxed

```
NbOs3Pb
1.0
-4.5698 0.9750 -0.9560
0.5850 -1.6193 -4.4479
-1.2338 -4.3789 1.4319
Os Nb Pb
3 1 1
Cartesian
0.2925 -0.8096 -2.2239 Os
-0.6169 -2.1895 0.7159 Os
-2.2849 0.4875 -0.4780 Os
-2.6093 -2.5116 -1.9860 Nb
0.0000 0.0000 0.0000 Pb
```

Computed properties:
Its calculated density is 13.33 g/cm3. The calculation puts the total energy at -35.97 eV for the cell shown. For the formation energy, the calculation gives 3.10 eV/atom. As for the crystal system: cubic.

RbNb2ZnOs | PBEsol | relaxed

```
RbNb2ZnOs
1.0
4.6783 0.0000 0.0000
0.0000 4.6783 0.0000
0.0000 0.0000 4.6814
Nb Rb Os Zn
2 1 1 1
Cartesian
0.0000 2.3391 0.0000 Nb
2.3391 0.0000 0.0000 Nb
0.0000 0.0000 0.0000 Rb
2.3391 2.3391 2.3407 Os
0.0000 0.0000 2.3407 Zn
```

Computed properties:
Its calculated density is 8.54 g/cm3. The calculation puts the total energy at -20.81 eV for the cell shown. For the formation energy, the calculation gives 3.13 eV/atom. As for the crystal system: tetragonal.

NbReOs2 | PBEsol | relaxed

```
NbReOs2
1.0
-4.3804 0.5041 -0.0172
-2.6212 -3.5100 -0.5013
-2.4008 -1.4619 3.3972
Os Re Nb
2 1 1
Cartesian
-2.3506 -1.1169 0.7197 Os
-7.0518 -3.3508 2.1590 Os
-4.7012 -2.2339 1.4393 Re
0.0000 0.0000 0.0000 Nb
```

Computed properties:
Its calculated density is 18.07 g/cm3. The calculation puts the total energy at -47.18 eV for the cell shown. For the formation energy, the calculation gives 0.35 eV/atom. As for the crystal system: cubic.

ZrNbRe2Os | PBEsol | relaxed

```
ZrNbRe2Os
1.0
4.6426 0.0000 0.0000
0.0000 4.6374 0.0000
0.0000 0.0000 4.6374
Re Nb Zr Os
2 1 1 1
Cartesian
0.0000 2.3187 0.0000 Re
0.0000 0.0000 2.3187 Re
2.3213 2.3187 2.3187 Nb
0.0000 0.0000 0.0000 Zr
2.3213 0.0000 0.0000 Os
```

Computed properties:
Its calculated density is 12.42 g/cm3. The calculation puts the total energy at -47.00 eV for the cell shown. For the formation energy, the calculation gives 2.36 eV/atom. As for the crystal system: tetragonal.

TaNbOsRh2 | PBEsol | relaxed

```
TaNbOsRh2
1.0
-2.9680 -1.7228 2.8702
-1.0573 -3.1571 -2.9883
3.4580 -2.8967 1.8370
Rh Os Ta Nb
2 1 1 1
Cartesian
-0.5286 -1.5786 -1.4941 Rh
-1.4840 -0.8614 1.4351 Rh
-0.2836 -3.8884 0.8595 Os
1.7290 -1.4484 0.9185 Ta
0.0000 0.0000 0.0000 Nb
```

Computed properties:
Its calculated density is 11.41 g/cm3. The calculation puts the total energy at -42.20 eV for the cell shown. For the formation energy, the calculation gives 1.93 eV/atom. As for the crystal system: tetragonal.

NbOs2Ru | PBEsol | relaxed

```
NbOs2Ru
1.0
4.3886 0.0000 0.0000
2.1943 3.8006 0.0000
2.1943 1.2669 3.5833
Os Ru Nb
2 1 1
Cartesian
6.5829 3.8006 2.6875 Os
2.1943 1.2669 0.8958 Os
4.3886 2.5338 1.7916 Ru
0.0000 0.0000 0.0000 Nb
```

Computed properties:
Its calculated density is 15.96 g/cm3. The calculation puts the total energy at -43.90 eV for the cell shown. For the formation energy, the calculation gives 0.38 eV/atom. As for the crystal system: cubic.

NbOsSe3 | PBEsol | relaxed

```
NbOsSe3
1.0
-1.1135 1.8650 -4.4257
2.1894 -3.8464 -2.1717
-4.2745 -2.4559 0.0405
Se Nb Os
3 1 1
Cartesian
-0.5567 0.9325 -2.2128 Se
1.0947 -1.9232 -1.0859 Se
-2.1373 -1.2280 0.0202 Se
0.0000 0.0000 0.0000 Nb
-1.5993 -2.2187 -3.2785 Os
```

Computed properties:
Its calculated density is 7.21 g/cm3. The calculation puts the total energy at -28.68 eV for the cell shown. As for the crystal system: cubic. As for the formation energy without anion corrections: 1.181 eV/atom.

NbTcSnOs2 | PBEsol | relaxed

```
NbTcSnOs2
1.0
-3.3571 -0.2286 -3.2420
3.2286 -0.7689 -3.2890
-0.4026 -4.9736 0.7676
Os Tc Nb Sn
2 1 1 1
Cartesian
1.6143 -0.3845 -1.6445 Os
-1.6785 -0.1143 -1.6210 Os
-0.2655 -2.9856 -2.8817 Tc
0.0000 0.0000 0.0000 Nb
-0.2013 -2.4868 0.3838 Sn
```

Computed properties:
Its calculated density is 10.40 g/cm3. The calculation puts the total energy at -39.07 eV for the cell shown. For the formation energy, the calculation gives 2.34 eV/atom. As for the crystal system: tetragonal.

Sr3NbOs | PBEsol | relaxed

```
Sr3NbOs
1.0
-3.8825 3.6155 1.4237
0.1370 -1.8839 5.1580
3.8833 3.6813 1.2414
Sr Os Nb
3 1 1
Cartesian
1.9417 1.8407 0.6207 Sr
0.0685 -0.9419 2.5790 Sr
-1.9413 1.8078 0.7118 Sr
0.0689 2.7065 3.9115 Os
0.0000 0.0000 0.0000 Nb
```

Computed properties:
Its calculated density is 5.47 g/cm3. The calculation puts the total energy at -18.53 eV for the cell shown. For the formation energy, the calculation gives 2.01 eV/atom. As for the crystal system: cubic.

SrTiNbOs2 | PBEsol | relaxed

```
SrTiNbOs2
1.0
4.7190 0.0000 0.0000
0.0000 4.8415 0.0000
0.0000 0.0000 4.8415
Os Sr Nb Ti
2 1 1 1
Cartesian
0.0000 2.4208 0.0000 Os
0.0000 0.0000 2.4208 Os
2.3595 2.4208 2.4208 Sr
0.0000 0.0000 0.0000 Nb
2.3595 0.0000 0.0000 Ti
```

Computed properties:
Its calculated density is 9.14 g/cm3. The calculation puts the total energy at -39.50 eV for the cell shown. For the formation energy, the calculation gives 1.18 eV/atom. As for the crystal system: tetragonal.

Ta2Nb2Os | PBEsol | relaxed

```
Ta2Nb2Os
1.0
3.5644 0.0000 0.0000
0.0000 3.5644 0.0000
-1.7822 -1.7822 7.2938
Os Ta Nb
1 2 2
Cartesian
0.0000 0.0000 0.0000 Os
1.7822 0.0000 3.6469 Ta
0.0000 1.7822 3.6469 Ta
1.7822 1.7822 1.2796 Nb
0.0000 0.0000 6.0143 Nb
```

Computed properties:
Its calculated density is 13.22 g/cm3. The calculation puts the total energy at -54.03 eV for the cell shown. For the formation energy, the calculation gives 0.99 eV/atom. As for the crystal system: tetragonal.

TaNb2Os | PBEsol | relaxed

```
TaNb2Os
1.0
4.5330 0.0000 0.0000
2.2665 3.9257 0.0000
2.2665 1.3086 3.7012
Nb Ta Os
2 1 1
Cartesian
2.2665 1.3086 0.9253 Nb
6.7995 3.9257 2.7759 Nb
0.0000 0.0000 0.0000 Ta
4.5330 2.6171 1.8506 Os
```

Computed properties:
Its calculated density is 14.04 g/cm3. The calculation puts the total energy at -47.21 eV for the cell shown. For the formation energy, the calculation gives -0.20 eV/atom. As for the crystal system: cubic.